! MgBeRe2, relaxed, DFT PBE-GGA; values from VASP
&SYSTEM
  ibrav = 0, nat = 4, ntyp = 3
/
ATOMIC_SPECIES
Mg 24.30 Mg.upf
Re 186.21 Re.upf
Be 9.01 Be.upf
ATOMIC_POSITIONS angstrom
Mg 0.832 1.249 6.381
Re 0.000 0.000 0.123
Re 0.832 1.249 2.294
Be 0.000 0.000 4.188
CELL_PARAMETERS angstrom
2.710 -0.002 0.000
-1.045 2.500 0.000
0.000 0.000 8.658
! - spin magnetization (μB/cell) = 0.0
! - raw total energy (eV per cell) = -28.99
! - energy above the lowest structure with this stoichiometry (eV/atom) = 0.2567
! - density (g/cm3) = 11.490
! - ΔE_f (eV per formula unit) = 1.231
! - calculated volume (Å³/atom) = 14.66

***

! Pr4SmTh3As8, relaxed, DFT PBE-GGA; values from VASP
&SYSTEM
  ibrav = 0, nat = 16, ntyp = 4
/
ATOMIC_SPECIES
As 74.92 As.upf
Pr 140.91 Pr.upf
Th 232.04 Th.upf
Sm 150.36 Sm.upf
ATOMIC_POSITIONS angstrom
As -2.136 2.108 6.021
As 6.412 2.174 0.025
Pr 4.276 0.000 0.000
Pr -2.138 -2.136 3.025
Th -2.138 2.141 3.023
As 0.000 4.242 2.999
As 2.140 2.174 0.025
As 0.000 0.034 3.046
As 4.276 0.040 3.047
Th 4.276 4.277 -0.002
Pr 0.000 0.000 0.000
As 2.136 2.108 6.021
Sm 0.000 4.277 -0.002
Th 2.138 2.141 3.023
Pr 2.138 -2.136 3.025
As 4.276 4.248 3.000
CELL_PARAMETERS angstrom
8.552 0.000 0.000
0.000 8.554 -0.004
-4.276 -4.272 6.051
! - spin magnetization (μB/cell) = 0.0
! - raw total energy (eV per cell) = -107.14
! - density (g/cm3) = 7.542
! - ΔE_f (eV per formula unit) = -23.847
! - calculated volume (Å³/atom) = 27.65

***

! SrLiAlAg, relaxed, DFT PBE-GGA; values from VASP
&SYSTEM
  ibrav = 0, nat = 4, ntyp = 4
/
ATOMIC_SPECIES
Li 6.94 Li.upf
Ag 107.87 Ag.upf
Al 26.98 Al.upf
Sr 87.62 Sr.upf
ATOMIC_POSITIONS angstrom
Li 1.083 -7.450 -5.446
Ag 0.361 -2.483 -1.815
Al 0.000 0.000 0.000
Sr 0.722 -4.967 -3.631
CELL_PARAMETERS angstrom
-2.224 -4.188 -1.758
0.929 -1.566 -4.718
2.739 -4.179 -0.785
! - spin magnetization (μB/cell) = 0.0
! - raw total energy (eV per cell) = -10.61
! - energy above the lowest structure with this stoichiometry (eV/atom) = 0.1182
! - density (g/cm3) = 4.164
! - ΔE_f (eV per formula unit) = -0.423
! - calculated volume (Å³/atom) = 22.87